# 1
10
Lattice="5.630 0.000 0.000 0.000 5.630 0.000 0.000 0.000 3.897" Properties=species:S:1:pos:R:3 comment="Mn2BeAl2 PBE relaxed" dft_energy_ev_per_atom=-6.01 e_form_kj_per_mol_fu=-46 sg="No. 127" polymorph_energy_ev_per_atom=0.0000 m_tot_mub_per_cell=2.47 pbc="T T T"
Mn 0.771 2.044 0.000
Mn 2.044 4.859 0.000
Mn 3.586 0.771 0.000
Mn 4.859 3.586 0.000
Be 0.000 0.000 0.000
Be 2.815 2.815 0.000
Al 0.953 3.768 1.949
Al 1.862 0.953 1.949
Al 3.768 4.677 1.949
Al 4.677 1.862 1.949

# 2
9
Lattice="4.468 0.000 0.000 0.000 4.468 0.000 0.000 0.000 8.752" Properties=species:S:1:pos:R:3 comment="SrPmGe2Pt5 PBE relaxed" dft_energy_ev_per_atom=-5.82 e_form_kj_per_mol_fu=-628 sg="No. 123" m_tot_mub_per_cell=0.00 pbc="T T T"
Sr 0.000 0.000 0.000
Pm 0.000 0.000 4.376
Ge 2.234 2.234 3.105
Ge 2.234 2.234 5.647
Pt 0.000 2.234 2.077
Pt 0.000 2.234 6.675
Pt 2.234 0.000 2.077
Pt 2.234 0.000 6.675
Pt 2.234 2.234 0.000

# 3
8
Lattice="-3.445 3.445 6.982 3.445 -3.445 6.982 3.445 3.445 -6.982" Properties=species:S:1:pos:R:3 comment="KCaCl2 PBE relaxed" dft_energy_ev_per_atom=-3.31 sg="No. 122" raw_formation_energy_ev_per_atom=-1.615 polymorph_energy_ev_per_atom=0.1174 m_tot_mub_per_cell=0.32 pbc="T T T"
K 0.000 0.000 0.000
K 0.000 3.445 3.491
Ca 3.445 0.000 3.491
Ca 0.000 0.000 6.982
Cl 1.722 -1.187 5.237
Cl 2.257 1.722 1.746
Cl 1.722 4.632 -1.746
Cl 1.187 1.722 8.728

# 4
7
Lattice="4.755 -1.435 0.000 4.755 1.435 0.000 -0.886 0.000 4.874" Properties=species:S:1:pos:R:3 comment="H3Pd2Rh2 PBE relaxed" dft_energy_ev_per_atom=-5.01 sg="No. 12" m_tot_mub_per_cell=0.76 pbc="T T T"
H 0.000 0.000 0.000
H 1.564 0.000 3.841
H 7.061 0.000 1.033
Pd 0.831 0.000 1.862
Pd 7.794 0.000 3.012
Rh 3.465 0.000 0.583
Rh 5.160 0.000 4.291

# 5
4
Lattice="3.553 0.000 0.000 0.000 3.553 0.000 0.000 0.000 7.227" Properties=species:S:1:pos:R:3 comment="PaTaSb2 PBE relaxed" dft_energy_ev_per_atom=-7.48 sg="No. 123" raw_formation_energy_ev_per_atom=-0.081 polymorph_energy_ev_per_atom=0.0000 m_tot_mub_per_cell=0.01 pbc="T T T"
Pa 0.000 0.000 0.000
Ta 0.000 0.000 3.614
Sb 1.776 1.776 1.990
Sb 1.776 1.776 5.237

# 6
20
Lattice="5.777 0.000 0.000 0.000 8.442 0.000 0.000 0.000 6.961" Properties=species:S:1:pos:R:3 comment="Sm2PHPt6 PBE relaxed" dft_energy_ev_per_atom=-6.28 sg="No. 59" m_tot_mub_per_cell=0.00 pbc="T T T"
Sm 1.444 0.251 1.554
Sm 1.444 3.970 1.554
Sm 4.333 4.472 5.407
Sm 4.333 8.191 5.407
P 1.444 6.331 5.751
P 4.333 2.110 1.210
H 1.444 2.110 4.475
H 4.333 6.331 2.486
Pt 0.071 2.110 6.418
Pt 0.068 6.331 3.402
Pt 1.444 4.234 4.748
Pt 1.444 8.429 4.748
Pt 2.817 2.110 6.418
Pt 2.821 6.331 3.402
Pt 2.956 2.110 3.559
Pt 2.960 6.331 0.543
Pt 4.333 0.013 2.214
Pt 4.333 4.208 2.214
Pt 5.710 2.110 3.559
Pt 5.706 6.331 0.543

# 7
4
Lattice="1.604 0.926 8.804 -1.604 0.926 8.804 0.000 -1.852 8.804" Properties=species:S:1:pos:R:3 comment="ZrAs2Au PBE relaxed" dft_energy_ev_per_atom=-5.37 e_form_kj_per_mol_fu=-33 sg="No. 166" m_tot_mub_per_cell=0.00 pbc="T T T"
Zr 0.000 0.000 0.000
As 0.000 0.000 6.624
As 0.000 0.000 19.789
Au 0.000 0.000 13.206

# 8
4
Lattice="0.000 4.055 4.055 4.055 0.000 4.055 4.055 4.055 0.000" Properties=species:S:1:pos:R:3 comment="LiAc2Sn PBE relaxed" dft_energy_ev_per_atom=-3.89 e_form_kj_per_mol_fu=-138 sg="No. 225" m_tot_mub_per_cell=0.00 pbc="T T T"
Li 0.000 0.000 0.000
Ac 2.027 2.027 2.027
Ac 6.082 6.082 6.082
Sn 4.055 4.055 4.055